Density functional theory data (GGA-PBE) for a geometry-optimized KNbCd structure.

```
KNbCd
1.0
-3.8821 3.8045 0.6319
-0.5980 -3.9190 -3.7720
-3.5903 -4.5418 5.2879
Nb K Cd
2 2 2
direct
0.0000 0.0000 0.3600
0.0000 0.0000 0.6400
0.6667 0.3333 0.0000
0.6667 0.3333 0.5000
0.3333 0.6667 0.3112
0.3333 0.6667 0.6888
```

Output
Calculated formation energy ... 0.85 eV/atom
Excess energy over the best structure of this formula in the dataset ... 606.0 meV/atom
Symmetry ... No. 187

Density functional theory data (GGA-PBE) for a geometry-optimized KNaBi2Ir structure.

```
KNaBi2Ir
1.0
-1.2687 -2.6642 -4.4744
2.6698 -4.9469 2.1886
-4.6359 -1.5200 2.2196
Na K Ir Bi
1 1 1 2
direct
0.5000 0.5000 0.5000
0.0000 0.5000 0.0000
0.0000 0.0000 0.0000
0.0000 0.0000 0.5000
0.5000 0.0000 0.0000
```

Output
Calculated formation energy ... 0.20 eV/atom
Symmetry ... No. 123

Density functional theory data (GGA-PBE) for a geometry-optimized KPmHgBr6 structure.

```
KPmHgBr6
1.0
7.4195 0.0000 0.0000
-3.7097 6.4255 0.0000
0.0000 0.0000 14.6033
K Pm Hg Br
2 2 2 12
direct
0.0000 0.0000 0.0000
0.0000 0.0000 0.5000
0.3333 0.6667 0.2500
0.6667 0.3333 0.7500
0.6667 0.3333 0.2500
0.3333 0.6667 0.7500
0.6307 0.6282 0.1354
0.9976 0.3693 0.1354
0.3693 0.9976 0.6354
0.0024 0.6307 0.8646
0.3718 0.3693 0.3646
0.9976 0.6282 0.3646
0.6282 0.9976 0.8646
0.6307 0.0024 0.3646
0.0024 0.3718 0.6354
0.3718 0.0024 0.1354
0.6282 0.6307 0.6354
0.3693 0.3718 0.8646
```

Output
Formation energy from raw total energies ... -1.360 eV per atom
Symmetry ... No. 163

Number 1: energy -19.1 eV per cell. Number 2: energy -18.0 eV per cell. Number 3: energy -56.8 eV per cell.